[1]
Pr4Nd3Y5 | PBE | relaxed

abc: 6.319 7.289 8.930
angles: 90.13 90.09 90.02
Element x y z (fractional)
Pr  0.168  0.249  0.169
Pr  0.331  0.500  0.832
Pr  0.669  0.500  0.168
Pr  0.832  0.751  0.831
Nd  0.000  0.000  0.500
Nd  0.168  0.751  0.169
Nd  0.832  0.249  0.831
Y  0.000  0.500  0.500
Y  0.333  0.000  0.831
Y  0.500  0.248  0.500
Y  0.500  0.752  0.500
Y  0.667  0.000  0.169

Results
Polymorph energy (0 for the lowest one), meV per atom: 0.0
Formation energy from the elements, eV/f.u.: 0.16

[2]
Sr2AcTc2N6 | PBE | relaxed

abc: 6.217 6.217 7.228
angles: 117.69 117.69 60.22
Element x y z (fractional)
Sr  0.212  0.212  0.167
Sr  0.788  0.788  0.833
Ac  0.000  0.000  0.500
Tc  0.474  0.474  0.805
Tc  0.526  0.526  0.195
N  0.188  0.662  0.189
N  0.280  0.280  0.610
N  0.338  0.812  0.811
N  0.662  0.188  0.189
N  0.720  0.720  0.390
N  0.812  0.338  0.811

Results
Raw formation energy, kcal/mol of atoms: -13.375

[3]
ScTl2Br | PBE | relaxed

abc: 5.304 5.304 5.304
angles: 60.00 60.00 60.00
Element x y z (fractional)
Sc  0.000  0.000  0.000
Tl  0.500  0.500  0.500
Tl  0.750  0.750  0.750
Br  0.250  0.250  0.250

Results
Polymorph energy (0 for the lowest one), meV per atom: 437.1
Raw formation energy, kcal/mol of atoms: -2.837

[4]
CuBAu3 | PBE | relaxed

abc: 4.335 4.335 4.335
angles: 90.00 90.00 90.00
Element x y z (fractional)
Cu  0.000  0.000  0.000
B  0.500  0.500  0.500
Au  0.000  0.500  0.500
Au  0.500  0.000  0.500
Au  0.500  0.500  0.000

Results
Polymorph energy (0 for the lowest one), meV per atom: 0.0
Formation energy from the elements, eV/f.u.: 1.87

[5]
Dy5Y8Mg | PBE | relaxed

abc: 8.424 8.424 8.424
angles: 110.53 110.53 107.38
Element x y z (fractional)
Dy  0.000  0.000  0.000
Dy  0.318  0.630  0.105
Dy  0.370  0.475  0.688
Dy  0.525  0.213  0.895
Dy  0.787  0.682  0.312
Y  0.023  0.418  0.256
Y  0.064  0.160  0.732
Y  0.162  0.767  0.744
Y  0.233  0.977  0.394
Y  0.428  0.332  0.268
Y  0.582  0.838  0.606
Y  0.668  0.936  0.096
Y  0.840  0.572  0.904
Mg  0.750  0.250  0.500

Results
Formation energy from the elements, eV/f.u.: 3.14

[6]
TlCo2H | PBE | relaxed

abc: 5.534 5.534 5.534
angles: 128.26 128.26 76.21
Element x y z (fractional)
Tl  0.375  0.625  0.750
Tl  0.625  0.375  0.250
Co  0.000  0.000  0.000
Co  0.000  0.000  0.500
Co  0.000  0.500  0.000
Co  0.500  0.000  0.500
H  0.125  0.875  0.250
H  0.875  0.125  0.750

Results
Polymorph energy (0 for the lowest one), meV per atom: 0.0

[7]
TiNi6P | PBE | relaxed

abc: 6.202 6.202 6.202
angles: 45.93 45.93 45.93
Element x y z (fractional)
Ti  0.000  0.000  0.000
Ni  0.062  0.575  0.575
Ni  0.425  0.425  0.938
Ni  0.425  0.938  0.425
Ni  0.575  0.062  0.575
Ni  0.575  0.575  0.062
Ni  0.938  0.425  0.425
P  0.500  0.500  0.500

Results
Formation energy from the elements, eV/f.u.: -0.14

[8]
LuMg2Ti3S8 | PBE | relaxed

abc: 7.527 7.527 7.527
angles: 58.40 58.40 58.40
Element x y z (fractional)
Lu  0.000  0.000  0.000
Mg  0.372  0.372  0.372
Mg  0.628  0.628  0.628
Ti  0.000  0.000  0.500
Ti  0.000  0.500  0.000
Ti  0.500  0.000  0.000
S  0.226  0.749  0.749
S  0.240  0.240  0.240
S  0.251  0.251  0.774
S  0.251  0.774  0.251
S  0.749  0.226  0.749
S  0.749  0.749  0.226
S  0.760  0.760  0.760
S  0.774  0.251  0.251

Results
Raw formation energy, kcal/mol of atoms: -33.577

[9]
Ti2FeTe6 | PBE | relaxed

abc: 6.856 6.944 10.995
angles: 90.00 124.89 90.00
Element x y z (fractional)
Ti  0.223  0.149  0.247
Ti  0.223  0.351  0.747
Ti  0.777  0.649  0.253
Ti  0.777  0.851  0.753
Fe  0.000  0.000  0.500
Fe  0.000  0.500  0.000
Te  0.086  0.171  0.926
Te  0.086  0.329  0.426
Te  0.269  0.666  0.931
Te  0.269  0.834  0.431
Te  0.406  0.002  0.754
Te  0.406  0.498  0.254
Te  0.594  0.502  0.746
Te  0.594  0.998  0.246
Te  0.731  0.166  0.569
Te  0.731  0.334  0.069
Te  0.914  0.671  0.574
Te  0.914  0.829  0.074

Results
Raw formation energy, kcal/mol of atoms: -7.834

[10]
Dy3Sn3Ru2 | PBE | relaxed

abc: 8.340 15.275 5.858
angles: 90.00 90.00 90.00
Element x y z (fractional)
Dy  0.034  0.112  0.101
Dy  0.034  0.388  0.101
Dy  0.175  0.250  0.632
Dy  0.325  0.750  0.132
Dy  0.466  0.612  0.601
Dy  0.466  0.888  0.601
Dy  0.534  0.112  0.399
Dy  0.534  0.388  0.399
Dy  0.675  0.250  0.868
Dy  0.825  0.750  0.368
Dy  0.966  0.612  0.899
Dy  0.966  0.888  0.899
Sn  0.173  0.750  0.630
Sn  0.181  0.034  0.600
Sn  0.181  0.466  0.600
Sn  0.319  0.534  0.100
Sn  0.319  0.966  0.100
Sn  0.327  0.250  0.130
Sn  0.673  0.750  0.870
Sn  0.681  0.034  0.900
Sn  0.681  0.466  0.900
Sn  0.819  0.534  0.400
Sn  0.819  0.966  0.400
Sn  0.827  0.250  0.370
Ru  0.100  0.612  0.357
Ru  0.100  0.888  0.357
Ru  0.400  0.112  0.857
Ru  0.400  0.388  0.857
Ru  0.600  0.612  0.143
Ru  0.600  0.888  0.143
Ru  0.900  0.112  0.643
Ru  0.900  0.388  0.643

Results
Formation energy from the elements, eV/f.u.: -4.39

[11]
Tm11Zn4In9 | PBE | relaxed

abc: 13.077 13.077 3.670
angles: 90.00 90.00 112.88
Element x y z (fractional)
Tm  0.000  0.000  0.000
Tm  0.065  0.412  0.000
Tm  0.161  0.839  0.000
Tm  0.303  0.303  0.000
Tm  0.370  0.630  0.000
Tm  0.412  0.065  0.000
Tm  0.588  0.935  0.000
Tm  0.630  0.370  0.000
Tm  0.697  0.697  0.000
Tm  0.839  0.161  0.000
Tm  0.935  0.588  0.000
Zn  0.249  0.449  0.500
Zn  0.449  0.249  0.500
Zn  0.551  0.751  0.500
Zn  0.751  0.551  0.500
In  0.069  0.216  0.500
In  0.156  0.630  0.500
In  0.216  0.069  0.500
In  0.370  0.844  0.500
In  0.500  0.500  0.500
In  0.630  0.156  0.500
In  0.784  0.931  0.500
In  0.844  0.370  0.500
In  0.931  0.784  0.500

Results
Formation energy from the elements, eV/f.u.: -9.82

[12]
Ba2NaGa2 | PBE | relaxed

abc: 9.300 9.300 4.268
angles: 90.00 90.00 90.00
Element x y z (fractional)
Ba  0.185  0.315  0.000
Ba  0.315  0.815  0.000
Ba  0.685  0.185  0.000
Ba  0.815  0.685  0.000
Na  0.000  0.000  0.500
Na  0.500  0.500  0.500
Ga  0.103  0.603  0.500
Ga  0.397  0.103  0.500
Ga  0.603  0.897  0.500
Ga  0.897  0.397  0.500

Results
Polymorph energy (0 for the lowest one), meV per atom: 80.0
Formation energy from the elements, eV/f.u.: -1.10

| no. | total magnetization (μB/atom) |
| --- | --- |
| 1 | 0.00 |
| 2 | 0.00 |
| 3 | 0.00 |
| 4 | 0.00 |
| 5 | 0.00 |
| 6 | 0.58 |
| 7 | 0.00 |
| 8 | 0.20 |
| 9 | 0.09 |
| 10 | 0.00 |
| 11 | 0.00 |
| 12 | 0.00 |